(1)
PBE-GGA BaZrCl2, relaxed; SG = I-4m2; D(E_F) = 5.98 states/eV per cell; energy above the most stable polymorph in this dataset = 355.1 meV per atom; E_form (uncorrected) = -0.708 eV/atom; crystal system = tetragonal
1.0
4.272 0.000 0.000
0.000 4.272 0.000
0.000 0.000 13.076
Ba Zr Cl
2 2 4
Cartesian
0.000 0.000 0.000
2.136 2.136 6.538
0.000 2.136 3.269
2.136 0.000 9.807
0.000 0.000 6.538
0.000 2.136 9.807
2.136 0.000 3.269
2.136 2.136 0.000

(2)
PBE-GGA Pr3SbP2, relaxed; SG = Cmcm; D(E_F) = 1.49 states/eV per cell; E_form (uncorrected) = -1.019 eV/atom; crystal system = orthorhombic
1.0
2.391 -7.152 0.000
2.391 7.152 0.000
0.000 0.000 10.304
Pr Sb P
6 2 4
Cartesian
2.391 5.755 7.728
2.391 1.742 5.755
2.391 1.742 9.702
2.391 -1.742 0.603
2.391 -1.742 4.549
2.391 -5.755 2.576
2.391 3.822 2.576
2.391 -3.822 7.728
0.000 0.000 0.000
0.000 0.000 5.152
2.391 0.139 2.576
2.391 -0.139 7.728

(3)
PBE-GGA LaCdOs2, relaxed; SG = Cmmm; D(E_F) = 7.89 states/eV per cell; ΔE_f = 718 meV/atom; crystal system = orthorhombic
1.0
3.203 0.000 0.000
0.000 4.945 0.000
0.000 0.000 9.420
La Cd Os
2 2 4
Cartesian
0.000 0.000 0.000
1.602 2.473 0.000
0.000 0.000 4.710
1.602 2.473 4.710
0.000 2.473 2.378
0.000 2.473 7.042
1.602 0.000 2.378
1.602 0.000 7.042